An optimized crystal structure of AlCd2Te. Source: Alexandria, functional PBE.

Computed properties:
formation energy from raw total energies: 59 meV per atom
ΔE to the lowest computed polymorph: 82.8 meV per atom
raw total energy: -2.12 eV/atom

```
8
Lattice="8.087 0.000 0.000 0.000 8.087 0.000 4.044 4.044 3.104" Properties=species:S:1:pos:R:3 pbc="T T T"
Te 0.000 0.000 0.000
Te 8.087 4.044 1.552
Al 4.044 4.044 0.000
Al 4.044 8.087 1.552
Cd 5.972 2.022 0.776
Cd 2.115 6.065 0.776
Cd 6.065 6.159 2.328
Cd 10.109 10.016 2.328
```

An optimized crystal structure of PrEuIn. Source: Alexandria, functional PBE.

Computed properties:
formation energy from the elements: -134 meV/atom
ΔE to the lowest computed polymorph: 143.9 meV per atom
raw total energy: -6.06 eV/atom

```
3
Lattice="5.446 0.000 0.000 2.723 4.716 0.000 2.723 1.572 4.447" Properties=species:S:1:pos:R:3 pbc="T T T"
Eu 0.000 0.000 0.000
Pr 5.446 3.144 2.223
In 2.723 1.572 1.112
```

An optimized crystal structure of ZrMnSi2. Source: Alexandria, functional PBE.

Computed properties:
formation energy from raw total energies: 47 meV per atom
raw total energy: -7.09 eV/atom

```
8
Lattice="-0.510 3.360 2.111 -3.776 0.244 -1.299 -4.788 -2.877 7.215" Properties=species:S:1:pos:R:3 pbc="T T T"
Si -1.947 1.145 2.793
Si -3.661 0.119 1.423
Si -5.497 -0.787 5.612
Si -7.041 0.976 6.224
Mn -2.143 1.802 0.406
Mn -5.353 -0.416 3.160
Zr 0.000 0.000 0.000
Zr -3.720 1.142 4.866
```

An optimized crystal structure of ZrTlPO2. Source: Alexandria, functional PBE.

Computed properties:
formation energy from raw total energies: -22 meV per atom
ΔE to the lowest computed polymorph: 1404.2 meV per atom
raw total energy: -5.27 eV/atom

```
5
Lattice="4.107 0.000 0.000 0.000 4.107 0.000 0.000 0.000 5.323" Properties=species:S:1:pos:R:3 pbc="T T T"
P 0.000 0.000 2.661
Tl 0.000 0.000 0.000
O 0.000 2.053 0.000
O 2.053 0.000 0.000
Zr 2.053 2.053 2.661
```

An optimized crystal structure of Sc2AlRh. Source: Alexandria, functional PBE.

Computed properties:
formation energy from the elements: -560 meV/atom
raw total energy: -6.50 eV/atom

```
4
Lattice="5.225 0.156 0.000 1.928 4.858 0.000 -3.576 -2.507 2.871" Properties=species:S:1:pos:R:3 pbc="T T T"
Sc 0.000 0.000 0.000
Sc 0.964 2.429 1.436
Rh 2.612 0.078 1.436
Al 3.576 2.507 0.000
```

An optimized crystal structure of Rb4Ac3TaS8. Source: Alexandria, functional PBE.

Computed properties:
formation energy from raw total energies: -1543 meV per atom
raw total energy: -5.36 eV/atom

```
16
Lattice="-1.439 0.381 -8.398 -3.844 -8.336 0.281 -3.186 6.006 5.149" Properties=species:S:1:pos:R:3 pbc="T T T"
Rb -0.719 0.190 -4.199
Rb -2.313 3.193 -1.624
Rb 0.000 0.000 0.000
Rb -1.593 3.003 2.574
Ac -2.642 -3.978 -4.059
Ac -4.235 -0.975 -1.484
Ac -3.515 -1.165 2.715
Ta -1.922 -4.168 0.140
S -6.084 0.205 3.469
S -4.306 -3.147 0.595
S -3.153 0.858 0.579
S -6.887 0.418 -1.218
S -1.582 -2.367 -1.750
S -5.316 -2.808 -3.547
S -4.163 1.197 -3.563
S -2.385 -2.155 -6.437
```

An optimized crystal structure of Mg3GaIr. Source: Alexandria, functional PBE.

Computed properties:
formation energy from the elements: -225 meV/atom
ΔE to the lowest computed polymorph: 73.5 meV per atom
raw total energy: -3.56 eV/atom

```
10
Lattice="6.464 0.116 -0.001 -1.657 6.249 0.001 -2.659 -2.989 5.195" Properties=species:S:1:pos:R:3 pbc="T T T"
Mg 4.837 -0.488 1.489
Mg 0.135 1.730 1.490
Mg 2.013 1.645 3.705
Mg 3.342 2.474 0.814
Mg -2.689 3.863 3.706
Mg -1.194 0.902 4.380
Ga 2.370 -1.790 4.326
Ga -0.222 5.165 0.868
Ir 1.508 3.859 2.097
Ir 0.640 -0.483 3.097
```

An optimized crystal structure of Y4Bi3Pb. Source: Alexandria, functional PBE.

Computed properties:
formation energy from the elements: -761 meV/atom
raw total energy: -5.91 eV/atom

```
16
Lattice="-6.231 -1.558 4.250 3.823 -6.624 -1.541 4.835 1.052 7.475" Properties=species:S:1:pos:R:3 pbc="T T T"
Y -2.247 -2.541 8.542
Y 2.070 -1.514 8.279
Y -0.351 -2.027 4.532
Y 1.560 -1.524 0.551
Y 0.867 -5.606 9.633
Y 2.778 -5.103 5.652
Y 0.358 -5.615 1.905
Y 4.674 -4.589 1.642
Pb -0.432 -0.246 9.743
Pb -0.963 -0.260 1.982
Bi -2.861 -0.774 5.988
Bi 1.466 0.268 5.737
Bi 0.255 -3.824 7.081
Bi -2.157 -4.349 3.353
Bi 2.172 -3.306 3.103
Bi 4.584 -2.781 6.831
```

Record order is preserved below.
Mass density: 6.21, 5.93, 4.84, 6.63, 5.07, 4.97, 5.27, 7.78 g/cm3